Version P
## Pa2MnCd (GGA-PBE)

Data for a relaxed Pa2MnCd crystal.

Cell: 3.082 3.082 8.870 Å, 90.00 90.00 90.00°
Sites, in units of the cell vectors:
Pa 0.000 0.000 0.202
Pa 0.000 0.000 0.798
Mn 0.500 0.500 0.000
Cd 0.500 0.500 0.500

---

Version Q
## Pa2MnCd (GGA-PBE)

Data for a relaxed Pa2MnCd crystal.

Cell: 8.409 8.409 8.409 Å, 25.48 25.48 25.48°
Sites, in units of the cell vectors:
Pa 0.226 0.226 0.226
Pa 0.774 0.774 0.774
Mn 0.500 0.500 0.500
Cd 0.000 0.000 0.000

---

Tell me which of them is the most stable. Sure, it is version P.

---

Version P
## Mn2Cd2Pd (GGA-PBE)

Data for a relaxed Mn2Cd2Pd crystal.

Cell: 7.501 7.501 2.970 Å, 90.00 90.00 90.00°
Sites, in units of the cell vectors:
Mn 0.094 0.406 0.000
Mn 0.406 0.906 0.000
Mn 0.594 0.094 0.000
Mn 0.906 0.594 0.000
Cd 0.199 0.699 0.500
Cd 0.301 0.199 0.500
Cd 0.699 0.801 0.500
Cd 0.801 0.301 0.500
Pd 0.000 0.000 0.000
Pd 0.500 0.500 0.000

---

Version Q
## Mn2Cd2Pd (GGA-PBE)

Data for a relaxed Mn2Cd2Pd crystal.

Cell: 7.478 7.478 7.478 Å, 150.64 150.64 42.00°
Sites, in units of the cell vectors:
Mn 0.090 0.090 0.000
Mn 0.910 0.910 0.000
Cd 0.250 0.750 0.500
Cd 0.750 0.250 0.500
Pd 0.500 0.500 0.000

---

Tell me which of them is the most stable. Sure, it is version P.

---

Version P
## MnCdPd3 (GGA-PBE)

Data for a relaxed MnCdPd3 crystal.

Cell: 4.582 4.582 4.582 Å, 90.00 90.00 90.00°
Sites, in units of the cell vectors:
Mn 0.000 0.000 0.000
Cd 0.500 0.500 0.500
Pd 0.000 0.000 0.500
Pd 0.000 0.500 0.000
Pd 0.500 0.000 0.000

---

Version Q
## MnCdPd3 (GGA-PBE)

Data for a relaxed MnCdPd3 crystal.

Cell: 4.892 4.892 4.892 Å, 90.00 90.00 90.00°
Sites, in units of the cell vectors:
Mn 0.000 0.000 0.000
Cd 0.500 0.500 0.500
Pd 0.000 0.500 0.500
Pd 0.500 0.000 0.500
Pd 0.500 0.500 0.000

---

Tell me which of them is the most stable. Sure, it is version P.